# 1
4
Lattice="3.850 0.000 0.000 0.000 3.841 0.000 0.000 0.000 4.148" Properties=species:S:1:pos:R:3 comment="CrAgMo2, relaxed, DFT GGA-PBE" delta_e_f_ev_per_atom=0.4885 energy_ha_per_atom=-0.2957 rho_g_cm3=9.52 m_tot_mub_per_fu=1.33 dos_at_fermi_per_ev_fu=3.285 pbc="T T T"
Ag 1.925 0.000 2.074
Cr 0.000 1.921 2.074
Mo 0.000 0.000 0.000
Mo 1.925 1.921 0.000



# 2
4
Lattice="2.591 0.000 0.000 0.000 4.247 0.000 0.000 0.000 5.611" Properties=species:S:1:pos:R:3 comment="CrAgMo2, relaxed, DFT GGA-PBE" delta_e_f_ev_per_atom=0.5400 energy_ha_per_atom=-0.2938 rho_g_cm3=9.46 m_tot_mub_per_fu=0.00 dos_at_fermi_per_ev_fu=4.283 pbc="T T T"
Ag 0.000 0.000 2.834
Cr 1.296 2.124 4.281
Mo 1.296 2.124 1.351
Mo 0.000 0.000 5.562



# 3
7
Lattice="5.134 0.000 0.000 0.000 5.134 0.000 2.567 2.567 6.488" Properties=species:S:1:pos:R:3 comment="CrAg4Mo2, relaxed, DFT GGA-PBE" delta_e_f_ev_per_atom=1.3441 energy_ha_per_atom=-0.1747 rho_g_cm3=6.56 m_tot_mub_per_fu=3.89 dos_at_fermi_per_ev_fu=4.206 pbc="T T T"
Mo 5.134 5.134 5.413
Mo 2.567 2.567 1.075
Ag 2.567 0.000 0.000
Ag 2.567 2.567 3.876
Ag 0.000 2.567 0.000
Ag 5.134 5.134 2.612
Cr 0.000 0.000 0.000